No. 1
Density functional theory data (GGA-PBE) for a geometry-optimized BeP structure.

The energy of formation is -0.178 eV/atom. Its density of states at the Fermi level is 0.279 states/eV/f.u. The value obtained for the magnetization is 0.00 μB per formula unit. Its distance to the lowest polymorph of the same formula is 0.0617 eV per atom.

a = 4.4579 Å, b = 5.8324 Å, c = 4.5400 Å
α = 90.00°, β = 109.27°, γ = 90.00°
Closest atoms and distances in Å follow each position.
Fractional coordinates of all 8 atoms:
P: 0.7726 0.2795 0.2811  4 Be 2.13-2.26, 1 P 2.32
P: 0.2274 0.2795 0.7189  4 Be 2.13-2.26, 1 P 2.32
P: 0.7726 0.7795 0.7811  4 Be 2.13-2.26, 1 P 2.32
P: 0.2274 0.7795 0.2189  4 Be 2.13-2.26, 1 P 2.32
Be: 0.0000 0.1047 0.0000  4 P 2.13-2.22
Be: 0.0000 0.6047 0.5000  4 P 2.13-2.22
Be: 0.5000 0.0769 0.5000  4 P 2.16-2.26
Be: 0.5000 0.5769 0.0000  4 P 2.16-2.26

No. 2
Density functional theory data (GGA-PBE) for a geometry-optimized BeP structure.

The energy of formation is 0.113 eV/atom. Its density of states at the Fermi level is 0.512 states/eV/f.u. The value obtained for the magnetization is 0.00 μB per formula unit. Its distance to the lowest polymorph of the same formula is 0.3531 eV per atom.

a = 6.3360 Å, b = 6.3360 Å, c = 6.2583 Å
α = 65.33°, β = 65.33°, γ = 23.13°
Closest atoms and distances in Å follow each position.
Fractional coordinates of all 6 atoms:
Be: 0.9906 0.9906 0.0191  4 P 2.12-2.27
Be: 0.7047 0.7047 0.9925  6 P 2.33-2.44, 2 Be 2.54
Be: 0.5395 0.5395 0.5974  5 P 2.14-2.33
P: 0.3754 0.3754 0.9110  5 Be 2.14-2.33
P: 0.0545 0.0545 0.2832  5 Be 2.12-2.35
P: 0.1686 0.1686 0.6968  5 Be 2.27-2.44, 2 P 2.54

No. 3
Density functional theory data (GGA-PBE) for a geometry-optimized BeP structure.

The energy of formation is -0.155 eV/atom. Its density of states at the Fermi level is 0.207 states/eV/f.u. The value obtained for the magnetization is 0.00 μB per formula unit. Its distance to the lowest polymorph of the same formula is 0.0847 eV per atom.

a = 3.7023 Å, b = 3.7042 Å, c = 5.6924 Å
α = 97.70°, β = 99.08°, γ = 119.95°
Closest atoms and distances in Å follow each position.
Fractional coordinates of all 4 atoms:
P: 0.9379 0.5100 0.6952  4 Be 2.14-2.28, 1 P 2.34
P: 0.0621 0.4900 0.3048  4 Be 2.14-2.28, 1 P 2.34
Be: 0.5890 0.8295 0.6645  4 P 2.14-2.28
Be: 0.4110 0.1705 0.3355  4 P 2.14-2.28

No. 4
Density functional theory data (GGA-PBE) for a geometry-optimized BeP structure.

The energy of formation is 0.114 eV/atom. Its density of states at the Fermi level is 0.918 states/eV/f.u. The value obtained for the magnetization is 0.00 μB per formula unit. Its distance to the lowest polymorph of the same formula is 0.3538 eV per atom.

a = 3.4068 Å, b = 3.4068 Å, c = 4.6951 Å
α = 90.00°, β = 90.00°, γ = 90.00°
Closest atoms and distances in Å follow each position.
Fractional coordinates of all 4 atoms:
P: 0.2500 0.2500 0.2906  4 Be 2.18
P: 0.7500 0.7500 0.7094  4 Be 2.18
Be: 0.2500 0.7500 0.0000  4 P 2.18, 4 Be 2.41
Be: 0.7500 0.2500 0.0000  4 P 2.18, 4 Be 2.41

No. 5
Density functional theory data (GGA-PBE) for a geometry-optimized Pa2BeP structure.

The energy of formation is 0.385 eV/atom. Its density of states at the Fermi level is 7.069 states/eV/f.u. The value obtained for the magnetization is 0.00 μB per formula unit.

a = 3.3581 Å, b = 3.3581 Å, c = 9.9304 Å
α = 80.27°, β = 80.27°, γ = 60.00°
Closest atoms and distances in Å follow each position.
Fractional coordinates of all 4 atoms:
P: 0.5000 0.5000 0.5000  6 Pa 2.72
Pa: 0.1016 0.1016 0.6952  3 P 2.72, 1 Be 2.97
Pa: 0.8984 0.8984 0.3048  3 P 2.72, 1 Be 2.97
Be: 0.0000 0.0000 0.0000  2 Pa 2.97

No. 6
Density functional theory data (GGA-PBE) for a geometry-optimized Sr2PaBe2P4 structure.

The energy of formation is -0.883 eV/atom. Its density of states at the Fermi level is 4.571 states/eV/f.u. The value obtained for the magnetization is 0.55 μB per formula unit.

a = 3.8922 Å, b = 7.2077 Å, c = 7.4996 Å
α = 110.49°, β = 105.04°, γ = 90.00°
Closest atoms and distances in Å follow each position.
Fractional coordinates of all 9 atoms:
Sr: 0.1343 0.5729 0.2686  6 P 3.07-3.26, 3 Be 3.38-3.41
Sr: 0.8657 0.4271 0.7314  6 P 3.07-3.26, 3 Be 3.38-3.41
Pa: 0.0000 0.0000 0.0000  6 P 2.76-2.79
Be: 0.6757 0.9831 0.3514  4 P 2.23-2.31
Be: 0.3243 0.0169 0.6486  4 P 2.23-2.31
P: 0.2065 0.1636 0.4129  3 Be 2.29-2.31
P: 0.7935 0.8364 0.5871  3 Be 2.29-2.31
P: 0.5242 0.7498 0.0484  1 Be 2.23
P: 0.4758 0.2502 0.9516  1 Be 2.23

No. 7
Density functional theory data (GGA-PBE) for a geometry-optimized BeP3Pb structure.

The energy of formation is 0.565 eV/atom. Its density of states at the Fermi level is 2.854 states/eV/f.u. The value obtained for the magnetization is 0.00 μB per formula unit. Its distance to the lowest polymorph of the same formula is 0.0000 eV per atom.

a = 4.4730 Å, b = 4.4730 Å, c = 4.4730 Å
α = 90.00°, β = 90.00°, γ = 90.00°
Closest atoms and distances in Å follow each position.
Fractional coordinates of all 5 atoms:
Pb: 0.5000 0.5000 0.5000  12 P 3.16
P: 0.0000 0.5000 0.0000  2 Be 2.24
P: 0.0000 0.0000 0.5000  2 Be 2.24
P: 0.5000 0.0000 0.0000  2 Be 2.24
Be: 0.0000 0.0000 0.0000  6 P 2.24

No. 8
Density functional theory data (GGA-PBE) for a geometry-optimized BeP3Pb structure.

The energy of formation is 1.925 eV/atom. Its density of states at the Fermi level is 7.892 states/eV/f.u. The value obtained for the magnetization is 0.00 μB per formula unit. Its distance to the lowest polymorph of the same formula is 1.3603 eV per atom.

a = 5.1837 Å, b = 5.1837 Å, c = 5.1837 Å
α = 90.00°, β = 90.00°, γ = 90.00°
Closest atoms and distances in Å follow each position.
Fractional coordinates of all 5 atoms:
Pb: 0.0000 0.0000 0.0000  6 P 2.59
P: 0.0000 0.5000 0.0000  2 Pb 2.59
P: 0.0000 0.0000 0.5000  2 Pb 2.59
P: 0.5000 0.0000 0.0000  2 Pb 2.59
Be: 0.5000 0.5000 0.5000  12 P 3.67

No. 9
Density functional theory data (GGA-PBE) for a geometry-optimized Be2P2Pb structure.

The energy of formation is -0.107 eV/atom. Its density of states at the Fermi level is 1.249 states/eV/f.u. The value obtained for the magnetization is 0.00 μB per formula unit. Its distance to the lowest polymorph of the same formula is 0.0000 eV per atom.

a = 3.6014 Å, b = 3.6014 Å, c = 6.9626 Å
α = 75.01°, β = 75.01°, γ = 90.00°
Closest atoms and distances in Å follow each position.
Fractional coordinates of all 5 atoms:
Pb: 0.0000 0.0000 0.0000  8 P 3.21
P: 0.3496 0.3496 0.3008  4 Be 2.22
P: 0.6504 0.6504 0.6992  4 Be 2.22
Be: 0.7500 0.2500 0.5000  4 P 2.22
Be: 0.2500 0.7500 0.5000  4 P 2.22

No. 10
Density functional theory data (GGA-PBE) for a geometry-optimized Be4PPb structure.

The energy of formation is 0.641 eV/atom. Its density of states at the Fermi level is 1.670 states/eV/f.u. The value obtained for the magnetization is 0.00 μB per formula unit.

a = 4.8288 Å, b = 4.8288 Å, c = 4.8288 Å
α = 60.00°, β = 60.00°, γ = 60.00°
Closest atoms and distances in Å follow each position.
Fractional coordinates of all 6 atoms:
Be: 0.8714 0.3762 0.3762  6 Be 2.39-2.44
Be: 0.3762 0.3762 0.8714  6 Be 2.39-2.44
Be: 0.3762 0.8714 0.3762  6 Be 2.39-2.44
Be: 0.3762 0.3762 0.3762  6 Be 2.39-2.44
P: 0.7500 0.7500 0.7500  12 Be 2.83, 4 Pb 2.96
Pb: 0.0000 0.0000 0.0000  12 Be 2.83, 4 P 2.96

| no. | total DFT energy (no corrections) (hartree per atom) |
| --- | --- |
| 1 | -0.1744 |
| 2 | -0.1637 |
| 3 | -0.1736 |
| 4 | -0.1637 |
| 5 | -0.2443 |
| 6 | -0.2037 |
| 7 | -0.1532 |
| 8 | -0.1032 |
| 9 | -0.1655 |
| 10 | -0.1236 |